# 1
# LiSb2 | the Alexandria database | PBE | optimized geometry
data_LiSb2
_chemical_formula_sum 'Li1 Sb2'
_cell_length_a 5.345
_cell_length_b 5.345
_cell_length_c 3.164
_cell_angle_alpha 90.00
_cell_angle_beta 90.00
_cell_angle_gamma 120.00
_space_group_name_H-M_alt 'P 1'
_space_group_IT_number 1
_space_group_name_Hall 'P 1'
loop_
_atom_site_label
_atom_site_fract_x
_atom_site_fract_y
_atom_site_fract_z
Li1 0.000 0.000 0.000
Sb1 0.333 0.667 0.500
Sb2 0.667 0.333 0.500
# - Electronic total energy: -10.5 eV per formula unit
# - Energy relative to the lowest polymorph listed for this composition: 0.1280 eV per atom
# - N(E_F): 1.0 states/eV/f.u.
# - Formation energy from raw total energies: -113.9 meV/atom
# - Symmetry: No. 191
# - V: 26.09 A^3/atom

# 2
# HRuRh | the Alexandria database | PBE | optimized geometry
data_HRuRh
_chemical_formula_sum 'H2 Ru2 Rh2'
_cell_length_a 2.873
_cell_length_b 2.873
_cell_length_c 9.985
_cell_angle_alpha 90.00
_cell_angle_beta 90.00
_cell_angle_gamma 120.00
_space_group_name_H-M_alt 'P 1'
_space_group_IT_number 1
_space_group_name_Hall 'P 1'
loop_
_atom_site_label
_atom_site_fract_x
_atom_site_fract_y
_atom_site_fract_z
Ru1 0.000 0.000 0.250
Ru2 0.000 0.000 0.750
Rh1 0.000 0.000 0.000
Rh2 0.000 0.000 0.500
H1 0.333 0.667 0.250
H2 0.667 0.333 0.750
# - Electronic total energy: -18.0 eV per formula unit
# - Energy relative to the lowest polymorph listed for this composition: 0.4714 eV per atom
# - N(E_F): 4.8 states/eV/f.u.
# - Symmetry: No. 194
# - V: 11.89 A^3/atom

# 3
# ZrCdPb2 | the Alexandria database | PBE | optimized geometry
data_ZrCdPb2
_chemical_formula_sum 'Zr1 Cd1 Pb2'
_cell_length_a 3.245
_cell_length_b 3.245
_cell_length_c 10.269
_cell_angle_alpha 90.00
_cell_angle_beta 90.00
_cell_angle_gamma 90.00
_space_group_name_H-M_alt 'P 1'
_space_group_IT_number 1
_space_group_name_Hall 'P 1'
loop_
_atom_site_label
_atom_site_fract_x
_atom_site_fract_y
_atom_site_fract_z
Cd1 0.500 0.500 0.750
Pb1 0.000 0.000 0.022
Pb2 0.000 0.000 0.478
Zr1 0.500 0.500 0.250
# - Electronic total energy: -16.7 eV per formula unit
# - N(E_F): 2.6 states/eV/f.u.
# - Symmetry: No. 123
# - V: 27.03 A^3/atom

# 4
# Mg4Tc | the Alexandria database | PBE | optimized geometry
data_Mg4Tc
_chemical_formula_sum 'Mg4 Tc1'
_cell_length_a 5.016
_cell_length_b 5.016
_cell_length_c 5.016
_cell_angle_alpha 90.00
_cell_angle_beta 90.00
_cell_angle_gamma 90.00
_space_group_name_H-M_alt 'P 1'
_space_group_IT_number 1
_space_group_name_Hall 'P 1'
loop_
_atom_site_label
_atom_site_fract_x
_atom_site_fract_y
_atom_site_fract_z
Mg1 0.000 0.000 0.000
Mg2 0.500 0.000 0.500
Mg3 0.000 0.500 0.500
Mg4 0.500 0.500 0.000
Tc1 0.500 0.500 0.500
# - Electronic total energy: -13.3 eV per formula unit
# - Energy relative to the lowest polymorph listed for this composition: 0.5340 eV per atom
# - N(E_F): 3.9 states/eV/f.u.
# - Symmetry: No. 221
# - V: 25.25 A^3/atom

# 5
# Na2PuSbO4 | the Alexandria database | PBE | optimized geometry
data_Na2PuSbO4
_chemical_formula_sum 'Na2 Pu1 Sb1 O4'
_cell_length_a 3.358
_cell_length_b 7.052
_cell_length_c 6.306
_cell_angle_alpha 121.42
_cell_angle_beta 90.00
_cell_angle_gamma 90.00
_space_group_name_H-M_alt 'P 1'
_space_group_IT_number 1
_space_group_name_Hall 'P 1'
loop_
_atom_site_label
_atom_site_fract_x
_atom_site_fract_y
_atom_site_fract_z
Na1 0.500 0.000 0.500
Na2 0.000 0.500 0.500
Pu1 0.500 0.500 0.000
Sb1 0.000 0.000 0.000
O1 0.500 0.271 0.149
O2 0.500 0.729 0.851
O3 0.000 0.316 0.747
O4 0.000 0.684 0.253
# - Electronic total energy: -55.5 eV per formula unit
# - N(E_F): 4.8 states/eV/f.u.
# - Formation energy from raw total energies: -1819.1 meV/atom
# - Symmetry: No. 10
# - V: 15.93 A^3/atom

# 6
# GeMoS2 | the Alexandria database | PBE | optimized geometry
data_GeMoS2
_chemical_formula_sum 'Ge2 Mo2 S4'
_cell_length_a 5.836
_cell_length_b 5.836
_cell_length_c 6.704
_cell_angle_alpha 64.20
_cell_angle_beta 64.20
_cell_angle_gamma 90.00
_space_group_name_H-M_alt 'P 1'
_space_group_IT_number 1
_space_group_name_Hall 'P 1'
loop_
_atom_site_label
_atom_site_fract_x
_atom_site_fract_y
_atom_site_fract_z
S1 0.670 0.125 0.250
S2 0.080 0.625 0.250
S3 0.375 0.330 0.750
S4 0.875 0.920 0.750
Mo1 0.000 0.000 0.000
Mo2 0.750 0.250 0.500
Ge1 0.500 0.500 0.000
Ge2 0.250 0.750 0.500
# - Electronic total energy: -23.3 eV per formula unit
# - N(E_F): 0.2 states/eV/f.u.
# - Formation energy from raw total energies: 93.8 meV/atom
# - Symmetry: No. 122
# - V: 22.49 A^3/atom